# ThMg2Ag4, optimized geometry, DFT GGA-PBE
# Crystal system   orthorhombic
# Electronic total energy   -3.2783 eV/atom
# Energy relative to the elements   -0.1334 eV per atom
# DOS(E_F)   3.7 states/eV/f.u.
data_ThMg2Ag4
_chemical_formula_sum 'Th2 Mg4 Ag8'
_space_group_name_H-M_alt 'I m m m'
_space_group_IT_number 71
_space_group_name_Hall '-I 2 2'
_cell_length_a 3.223
_cell_length_b 4.840
_cell_length_c 19.116
_cell_angle_alpha 90.00
_cell_angle_beta 90.00
_cell_angle_gamma 90.00
loop_
_atom_site_label
_atom_site_fract_x
_atom_site_fract_y
_atom_site_fract_z
Th1 0.000 0.000 0.000
Mg1 0.000 0.500 0.197
Ag1 0.000 0.000 0.425
Ag2 0.000 0.500 0.344

---

# Er7InPd4, optimized geometry, DFT GGA-PBE
# Crystal system   monoclinic
# Electronic total energy   -5.0850 eV/atom
# Energy relative to the elements   -0.4642 eV per atom
# DOS(E_F)   10.1 states/eV/f.u.
data_Er7InPd4
_chemical_formula_sum 'Er14 In2 Pd8'
_space_group_name_H-M_alt 'C 1 2/m 1'
_space_group_IT_number 12
_space_group_name_Hall '-C 2y'
_cell_length_a 13.576
_cell_length_b 5.582
_cell_length_c 9.565
_cell_angle_alpha 90.00
_cell_angle_beta 124.74
_cell_angle_gamma 90.00
loop_
_atom_site_label
_atom_site_fract_x
_atom_site_fract_y
_atom_site_fract_z
Er1 0.000 0.000 0.000
Er2 0.071 0.500 0.379
Er3 0.191 0.000 0.638
Er4 0.209 0.500 0.883
In1 0.000 0.500 0.000
Pd1 0.062 0.000 0.770
Pd2 0.201 0.000 0.340

---

# Sm2ErSc, optimized geometry, DFT GGA-PBE
# Crystal system   tetragonal
# Electronic total energy   -5.0428 eV/atom
# Energy relative to the elements   0.0404 eV per atom
# DOS(E_F)   6.2 states/eV/f.u.
data_Sm2ErSc
_chemical_formula_sum 'Sm2 Er1 Sc1'
_space_group_name_H-M_alt 'P 4/m m m'
_space_group_IT_number 123
_space_group_name_Hall '-P 4 2'
_cell_length_a 3.557
_cell_length_b 3.557
_cell_length_c 9.636
_cell_angle_alpha 90.00
_cell_angle_beta 90.00
_cell_angle_gamma 90.00
loop_
_atom_site_label
_atom_site_fract_x
_atom_site_fract_y
_atom_site_fract_z
Sm1 0.000 0.000 0.240
Er1 0.500 0.500 0.500
Sc1 0.500 0.500 0.000

---

# EuMgPt4, optimized geometry, DFT GGA-PBE
# Crystal system   cubic
# Electronic total energy   -6.7872 eV/atom
# Energy relative to the elements   -0.7818 eV per atom
# DOS(E_F)   15.3 states/eV/f.u.
data_EuMgPt4
_chemical_formula_sum 'Eu4 Mg4 Pt16'
_space_group_name_H-M_alt 'F -4 3 m'
_space_group_IT_number 216
_space_group_name_Hall 'F -4 2 3'
_cell_length_a 7.652
_cell_length_b 7.652
_cell_length_c 7.652
_cell_angle_alpha 90.00
_cell_angle_beta 90.00
_cell_angle_gamma 90.00
loop_
_atom_site_label
_atom_site_fract_x
_atom_site_fract_y
_atom_site_fract_z
Eu1 0.000 0.000 0.000
Mg1 0.250 0.250 0.750
Pt1 0.125 0.125 0.375

---

- Look up the DOS(E_F) of the second one.
  10.1 states/eV/f.u.

---

- Which of these has the lowest electronic total energy?
  EuMgPt4

---

- Look up the electronic total energy of the third one.
  -5.0428 eV/atom